Record 1
TaReOs: relaxed, GGA-PBE.

Geometry as CIF:
```
data_TaReOs
_cell_length_a 6.0700
_cell_length_b 6.0700
_cell_length_c 6.0700
_cell_angle_alpha 90.00
_cell_angle_beta 90.00
_cell_angle_gamma 90.00
_symmetry_space_group_name_H-M 'F -4 3 m'
_symmetry_Int_Tables_number 216
_symmetry_space_group_name_Hall 'F -4 2 3'
loop_
_atom_site_label
_atom_site_type_symbol
_atom_site_fract_x
_atom_site_fract_y
_atom_site_fract_z
Ta1 Ta 0.0000 0.0000 0.0000
Re1 Re 0.0000 0.0000 0.5000
Os1 Os 0.2500 0.2500 0.7500
```

Computed properties:
The offset from the most stable computed form comes out at 0.535 eV per atom. The volume comes out at 223.64 Å³/cell. For the formation energy, the calculation gives 447 meV per atom.

=====

Record 2
AlZnW: relaxed, GGA-PBE.

Geometry as CIF:
```
data_AlZnW
_cell_length_a 4.3811
_cell_length_b 4.3811
_cell_length_c 5.4241
_cell_angle_alpha 90.00
_cell_angle_beta 90.00
_cell_angle_gamma 120.00
_symmetry_space_group_name_H-M 'P 6/m m m'
_symmetry_Int_Tables_number 191
_symmetry_space_group_name_Hall '-P 6 2'
loop_
_atom_site_label
_atom_site_type_symbol
_atom_site_fract_x
_atom_site_fract_y
_atom_site_fract_z
Al1 Al 0.3333 0.6667 0.0000
Zn1 Zn 0.3333 0.6667 0.5000
W1 W 0.0000 0.0000 0.2410
```

Computed properties:
The offset from the most stable computed form comes out at 0.032 eV per atom. The volume comes out at 90.16 Å³/cell. For the formation energy, the calculation gives 153 meV per atom.

=====

Record 3
KLaCr: relaxed, GGA-PBE.

Geometry as CIF:
```
data_KLaCr
_cell_length_a 5.2699
_cell_length_b 5.2916
_cell_length_c 16.0347
_cell_angle_alpha 90.00
_cell_angle_beta 90.00
_cell_angle_gamma 90.00
_symmetry_space_group_name_H-M 'F m m 2'
_symmetry_Int_Tables_number 42
_symmetry_space_group_name_Hall 'F 2 -2'
loop_
_atom_site_label
_atom_site_type_symbol
_atom_site_fract_x
_atom_site_fract_y
_atom_site_fract_z
K1 K 0.0000 0.0000 0.0000
La1 La 0.0000 0.0000 0.2690
Cr1 Cr 0.0000 0.0000 0.6639
```

Computed properties:
The offset from the most stable computed form comes out at 0.000 eV per atom. The volume comes out at 447.15 Å³/cell. For the formation energy, the calculation gives 694 meV per atom.

=====

Record 4
UZn2Bi: relaxed, GGA-PBE.

Geometry as CIF:
```
data_UZn2Bi
_cell_length_a 4.4560
_cell_length_b 4.4560
_cell_length_c 4.5265
_cell_angle_alpha 90.00
_cell_angle_beta 90.00
_cell_angle_gamma 90.00
_symmetry_space_group_name_H-M 'P 4/m m m'
_symmetry_Int_Tables_number 123
_symmetry_space_group_name_Hall '-P 4 2'
loop_
_atom_site_label
_atom_site_type_symbol
_atom_site_fract_x
_atom_site_fract_y
_atom_site_fract_z
U1 U 0.0000 0.0000 0.0000
Zn1 Zn 0.0000 0.5000 0.5000
Bi1 Bi 0.5000 0.5000 0.0000
```

Computed properties:
The volume comes out at 89.88 Å³/cell. For the formation energy, the calculation gives 87 meV per atom.

=====

Record 5
BaTeAs2S8: relaxed, GGA-PBE.

Geometry as CIF:
```
data_BaTeAs2S8
_cell_length_a 6.1523
_cell_length_b 6.1523
_cell_length_c 27.7633
_cell_angle_alpha 90.00
_cell_angle_beta 90.00
_cell_angle_gamma 120.00
_symmetry_space_group_name_H-M 'R -3'
_symmetry_Int_Tables_number 148
_symmetry_space_group_name_Hall '-R 3'
loop_
_atom_site_label
_atom_site_type_symbol
_atom_site_fract_x
_atom_site_fract_y
_atom_site_fract_z
Ba1 Ba 0.0000 0.0000 0.0000
Te1 Te 0.0000 0.0000 0.5000
As1 As 0.0000 0.0000 0.2480
S1 S 0.0000 0.0000 0.3251
S2 S 0.0064 0.3023 0.8911
```

Computed properties:
As for the uncorrected formation energy: -26.4 kJ/mol of atoms. The volume comes out at 910.07 Å³/cell.

=====

Record 6
Cr2AsCS: relaxed, GGA-PBE.

Geometry as CIF:
```
data_Cr2AsCS
_cell_length_a 4.8011
_cell_length_b 4.8011
_cell_length_c 4.6750
_cell_angle_alpha 90.00
_cell_angle_beta 90.00
_cell_angle_gamma 90.00
_symmetry_space_group_name_H-M 'P 4/m m m'
_symmetry_Int_Tables_number 123
_symmetry_space_group_name_Hall '-P 4 2'
loop_
_atom_site_label
_atom_site_type_symbol
_atom_site_fract_x
_atom_site_fract_y
_atom_site_fract_z
Cr1 Cr 0.0000 0.5000 0.0000
As1 As 0.0000 0.0000 0.0000
C1 C 0.5000 0.5000 0.5000
S1 S 0.0000 0.0000 0.5000
```

Computed properties:
As for the uncorrected formation energy: 185.5 kJ/mol of atoms. The volume comes out at 107.76 Å³/cell.

=====

Record 7
RbTl12Se6: relaxed, GGA-PBE.

Geometry as CIF:
```
data_RbTl12Se6
_cell_length_a 14.4030
_cell_length_b 14.4030
_cell_length_c 11.3550
_cell_angle_alpha 90.00
_cell_angle_beta 90.00
_cell_angle_gamma 120.00
_symmetry_space_group_name_H-M 'R -3 m'
_symmetry_Int_Tables_number 166
_symmetry_space_group_name_Hall '-R 3 2"'
loop_
_atom_site_label
_atom_site_type_symbol
_atom_site_fract_x
_atom_site_fract_y
_atom_site_fract_z
Rb1 Rb 0.0000 0.0000 0.0000
Tl1 Tl 0.0000 0.3828 0.5000
Tl2 Tl 0.0867 0.1733 0.3591
Se1 Se 0.0248 0.5124 0.2421
```

Computed properties:
As for the uncorrected formation energy: -32.0 kJ/mol of atoms. The volume comes out at 2039.98 Å³/cell.

=====

Record 8
NbCoSb2: relaxed, GGA-PBE.

Geometry as CIF:
```
data_NbCoSb2
_cell_length_a 7.1399
_cell_length_b 7.1399
_cell_length_c 6.3188
_cell_angle_alpha 90.00
_cell_angle_beta 90.00
_cell_angle_gamma 90.00
_symmetry_space_group_name_H-M 'I -4 2 d'
_symmetry_Int_Tables_number 122
_symmetry_space_group_name_Hall 'I -4 2bw'
loop_
_atom_site_label
_atom_site_type_symbol
_atom_site_fract_x
_atom_site_fract_y
_atom_site_fract_z
Nb1 Nb 0.0000 0.0000 0.0000
Co1 Co 0.0000 0.0000 0.5000
Sb1 Sb 0.2017 0.2500 0.6250
```

Computed properties:
As for the uncorrected formation energy: 35.2 kJ/mol of atoms. The volume comes out at 322.12 Å³/cell.

=====

Record 9
B2C: relaxed, GGA-PBE.

Geometry as CIF:
```
data_B2C
_cell_length_a 2.7307
_cell_length_b 2.7307
_cell_length_c 16.6929
_cell_angle_alpha 90.00
_cell_angle_beta 90.00
_cell_angle_gamma 120.00
_symmetry_space_group_name_H-M 'P 3 m 1'
_symmetry_Int_Tables_number 156
loop_
_symmetry_equiv_pos_as_xyz
'x,y,z'
'-y,x-y,z'
'-x+y,-x,z'
'-y,-x,z'
'-x+y,y,z'
'x,x-y,z'
loop_
_atom_site_label
_atom_site_type_symbol
_atom_site_fract_x
_atom_site_fract_y
_atom_site_fract_z
B1 B 0.0000 0.0000 0.0000
B2 B 0.0000 0.0000 0.0994
B3 B 0.0000 0.0000 0.5950
B4 B 0.3333 0.6667 0.1195
B5 B 0.3333 0.6667 0.3475
B6 B 0.3333 0.6667 0.8379
B7 B 0.6667 0.3333 0.4561
B8 B 0.6667 0.3333 0.9385
C1 C 0.0000 0.0000 0.4928
C2 C 0.3333 0.6667 0.6047
C3 C 0.6667 0.3333 0.3562
C4 C 0.6667 0.3333 0.8449
```

Computed properties:
The offset from the most stable computed form comes out at 0.322 eV per atom. The volume comes out at 107.80 Å³/cell. For the formation energy, the calculation gives 508 meV per atom.